(1)
Compound: HoThCoNi
Source: the Alexandria database
Functional: GGA-PBE
Structure: optimized geometry

Lattice parameters (Å, degrees): 4.8334 4.8334 4.8334 60.00 60.00 60.00
Atoms (fractional coordinates):
Ni  0.2500  0.2500  0.2500
Co  0.7500  0.7500  0.7500
Ho  0.5000  0.5000  0.5000
Th  0.0000  0.0000  0.0000

Results
The density is 10.7 Mg/m³. As for the space-group type: F-43m. Its raw total energy is -6.468 eV per atom. The calculation puts the volume at 19.96 Å³ per atom. The density of states at the Fermi level is 1.311 states/eV/atom. The energy relative to the lowest polymorph listed for this composition comes out at 112.8 meV/atom.


(2)
Compound: CdInIr
Source: the Alexandria database
Functional: GGA-PBE
Structure: optimized geometry

Lattice parameters (Å, degrees): 4.6640 6.0123 9.3548 90.00 90.00 90.00
Atoms (fractional coordinates):
Cd  0.0000  0.0000  0.8872
Cd  0.0000  0.5000  0.3872
Cd  0.5000  0.0000  0.1174
Cd  0.5000  0.5000  0.6174
Ir  0.0000  0.7602  0.6306
Ir  0.0000  0.2398  0.6306
Ir  0.0000  0.2602  0.1306
Ir  0.0000  0.7398  0.1306
In  0.5000  0.0000  0.6414
In  0.5000  0.5000  0.1414
In  0.0000  0.0000  0.3725
In  0.0000  0.5000  0.8725

Results
The density is 10.6 Mg/m³. As for the space-group type: Amm2. Its raw total energy is -4.288 eV per atom. The calculation puts the volume at 21.86 Å³ per atom. The density of states at the Fermi level is 0.283 states/eV/atom.


(3)
Compound: NbTlTe4
Source: the Alexandria database
Functional: GGA-PBE
Structure: optimized geometry

Lattice parameters (Å, degrees): 6.5908 8.8447 8.5195 58.73 76.70 63.69
Atoms (fractional coordinates):
Nb  0.2500  0.9998  0.0004
Nb  0.7500  0.0002  0.9996
Tl  0.7500  0.3673  0.2653
Tl  0.2500  0.6327  0.7347
Te  0.8419  0.3443  0.8493
Te  0.0541  0.0623  0.6915
Te  0.6581  0.8065  0.8493
Te  0.4459  0.2461  0.6915
Te  0.5541  0.7539  0.3085
Te  0.3419  0.1935  0.1507
Te  0.9459  0.9377  0.3085
Te  0.1581  0.6557  0.1507

Results
As for the uncorrected formation energy: -0.2685 eV/atom. The density is 7.0 Mg/m³. As for the space-group type: C2/c. Its raw total energy is -4.436 eV per atom. The calculation puts the volume at 31.71 Å³ per atom. The density of states at the Fermi level is 0.397 states/eV/atom. The energy relative to the lowest polymorph listed for this composition comes out at 0.0 meV/atom.


(4)
Compound: K2HgRu
Source: the Alexandria database
Functional: GGA-PBE
Structure: optimized geometry

Lattice parameters (Å, degrees): 6.0702 6.0702 6.0702 133.38 122.63 76.93
Last column: magnetic moment on the atom in μB.
Atoms (fractional coordinates):
Hg  0.3146  0.8146  0.5000  -0.01
K  0.0276  0.0276  0.0000  -0.01
K  0.7296  0.2296  0.5000  -0.01
Ru  0.4282  0.4282  0.0000  1.48

Results
The density is 4.7 Mg/m³. As for the space-group type: Imm2. Its raw total energy is -2.267 eV per atom. The calculation puts the volume at 33.26 Å³ per atom. The density of states at the Fermi level is 0.918 states/eV/atom.


Q: Which formula does entry 4 have?
A: K2HgRu


Q: Which value of raw total energy does entry 3 give?
A: -4.436 eV per atom


Q: Which of these has the lowest raw total energy?
A: HoThCoNi


Please write out number 4 again, unchanged.
Compound: K2HgRu
Source: the Alexandria database
Functional: GGA-PBE
Structure: optimized geometry

Lattice parameters (Å, degrees): 6.0702 6.0702 6.0702 133.38 122.63 76.93
Last column: magnetic moment on the atom in μB.
Atoms (fractional coordinates):
Hg  0.3146  0.8146  0.5000  -0.01
K  0.0276  0.0276  0.0000  -0.01
K  0.7296  0.2296  0.5000  -0.01
Ru  0.4282  0.4282  0.0000  1.48

Results
The density is 4.7 Mg/m³. As for the space-group type: Imm2. Its raw total energy is -2.267 eV per atom. The calculation puts the volume at 33.26 Å³ per atom. The density of states at the Fermi level is 0.918 states/eV/atom.